(1)
# VOsPt (PBE, optimized geometry)
data_VOsPt
_chemical_formula_sum 'V2 Os2 Pt2'
_cell_length_a 4.7451
_cell_length_b 2.7267
_cell_length_c 6.6582
_cell_angle_alpha 90.00
_cell_angle_beta 90.26
_cell_angle_gamma 90.00
_space_group_name_H-M_alt 'P 1 2/m 1'
_space_group_IT_number 10
_space_group_name_Hall '-P 2y'
loop_
_atom_site_label
_atom_site_type_symbol
_atom_site_fract_x
_atom_site_fract_y
_atom_site_fract_z
V1 V 0.1776 0.0000 0.3214
Os1 Os 0.0000 0.5000 0.0000
Os2 Os 0.5000 0.0000 0.0000
Pt1 Pt 0.3199 0.5000 0.6599
# D(E_F) in states/eV/cell: 5.8
# Distance to the lowest polymorph of the same formula in eV per formula unit: 0.24

(2)
# VOsPtW (PBE, optimized geometry)
data_VOsPtW
_chemical_formula_sum 'V1 Os1 Pt1 W1'
_cell_length_a 3.8588
_cell_length_b 3.8602
_cell_length_c 3.9587
_cell_angle_alpha 90.00
_cell_angle_beta 90.00
_cell_angle_gamma 90.00
_space_group_name_H-M_alt 'P m m m'
_space_group_IT_number 47
_space_group_name_Hall '-P 2 2'
loop_
_atom_site_label
_atom_site_type_symbol
_atom_site_fract_x
_atom_site_fract_y
_atom_site_fract_z
V1 V 0.0000 0.0000 0.0000
Os1 Os 0.0000 0.5000 0.5000
Pt1 Pt 0.5000 0.5000 0.0000
W1 W 0.5000 0.0000 0.5000
# D(E_F) in states/eV/cell: 3.6

(3)
# ZrV2OsPt (PBE, optimized geometry)
data_ZrV2OsPt
_chemical_formula_sum 'Zr1 V2 Os1 Pt1'
_cell_length_a 4.5240
_cell_length_b 4.5240
_cell_length_c 4.7868
_cell_angle_alpha 90.00
_cell_angle_beta 90.00
_cell_angle_gamma 90.00
_space_group_name_H-M_alt 'P 4/m m m'
_space_group_IT_number 123
_space_group_name_Hall '-P 4 2'
loop_
_atom_site_label
_atom_site_type_symbol
_atom_site_fract_x
_atom_site_fract_y
_atom_site_fract_z
Zr1 Zr 0.0000 0.0000 0.0000
V1 V 0.0000 0.5000 0.0000
Os1 Os 0.5000 0.5000 0.5000
Pt1 Pt 0.0000 0.0000 0.5000
# D(E_F) in states/eV/cell: 8.3

(4)
# OsPt2W (PBE, optimized geometry)
data_OsPt2W
_chemical_formula_sum 'Os4 Pt8 W4'
_cell_length_a 5.4747
_cell_length_b 5.4824
_cell_length_c 8.1382
_cell_angle_alpha 90.00
_cell_angle_beta 90.00
_cell_angle_gamma 90.00
_space_group_name_H-M_alt 'F m m m'
_space_group_IT_number 69
_space_group_name_Hall '-F 2 2'
loop_
_atom_site_label
_atom_site_type_symbol
_atom_site_fract_x
_atom_site_fract_y
_atom_site_fract_z
Os1 Os 0.0000 0.0000 0.0000
Pt1 Pt 0.2500 0.2500 0.2500
W1 W 0.0000 0.0000 0.5000
# D(E_F) in states/eV/cell: 23.4
# Distance to the lowest polymorph of the same formula in eV per formula unit: 0.32

(5)
# OsPt2W (PBE, optimized geometry)
data_OsPt2W
_chemical_formula_sum 'Os1 Pt2 W1'
_cell_length_a 2.7401
_cell_length_b 2.7401
_cell_length_c 8.1386
_cell_angle_alpha 90.00
_cell_angle_beta 90.00
_cell_angle_gamma 90.00
_space_group_name_H-M_alt 'P 4/m m m'
_space_group_IT_number 123
_space_group_name_Hall '-P 4 2'
loop_
_atom_site_label
_atom_site_type_symbol
_atom_site_fract_x
_atom_site_fract_y
_atom_site_fract_z
Os1 Os 0.0000 0.0000 0.0000
Pt1 Pt 0.5000 0.5000 0.2484
W1 W 0.0000 0.0000 0.5000
# D(E_F) in states/eV/cell: 5.5
# Distance to the lowest polymorph of the same formula in eV per formula unit: 0.68

(6)
# OsPtW2 (PBE, optimized geometry)
data_OsPtW2
_chemical_formula_sum 'Os2 Pt2 W4'
_cell_length_a 3.9480
_cell_length_b 3.9480
_cell_length_c 7.8783
_cell_angle_alpha 90.00
_cell_angle_beta 90.00
_cell_angle_gamma 90.00
_space_group_name_H-M_alt 'I 4/m m m'
_space_group_IT_number 139
_space_group_name_Hall '-I 4 2'
loop_
_atom_site_label
_atom_site_type_symbol
_atom_site_fract_x
_atom_site_fract_y
_atom_site_fract_z
Os1 Os 0.0000 0.0000 0.0000
Pt1 Pt 0.0000 0.0000 0.5000
W1 W 0.0000 0.5000 0.2500
# D(E_F) in states/eV/cell: 2.7
# Distance to the lowest polymorph of the same formula in eV per formula unit: 0.00

E_form list, top to bottom, in eV/atom: -0.290; -0.238; 1.940; -0.030; 0.058; -0.142
Electronic total energy list, top to bottom, in eV/cell: -54.5; -40.3; -34.4; -145.5; -36.0; -87.5